Compound: MgTi2AsOs
Source: Alexandria via LeMat-Bulk
Functional: PBE
Structure: optimized geometry

a = 4.842 Å, b = 4.692 Å, c = 4.842 Å
α = 90.00°, β = 90.00°, γ = 90.00°
Sites, in units of the cell vectors:
As1 0.000 0.500 0.000
Os1 0.000 0.000 0.000
Mg1 0.500 0.500 0.500
Ti1 0.000 0.000 0.500
Ti2 0.500 0.000 0.000

Results
Total moment = 0.00 Bohr magnetons per cell
VASP energy = -6.23 eV/atom
Formation enthalpy at 0 K = 2.10 eV/f.u.



Compound: AcAuCl
Source: Alexandria via LeMat-Bulk
Functional: PBE
Structure: optimized geometry

a = 4.720 Å, b = 4.720 Å, c = 10.338 Å
α = 88.59°, β = 88.59°, γ = 61.33°
Sites, in units of the cell vectors:
Ac1 0.981 0.981 0.687
Ac2 0.019 0.019 0.313
Au1 0.669 0.669 0.508
Au2 0.331 0.331 0.492
Cl1 0.686 0.686 0.158
Cl2 0.314 0.314 0.842

Results
Total moment = 0.00 Bohr magnetons per cell
VASP energy = -4.50 eV/atom
Distance to the lowest polymorph of the same formula = 0.0 meV/atom
ΔE_f (raw) = -1.420 eV per atom



Compound: BaHgSbTe2
Source: Alexandria via LeMat-Bulk
Functional: PBE
Structure: optimized geometry

a = 6.612 Å, b = 6.612 Å, c = 6.837 Å
α = 90.00°, β = 90.00°, γ = 90.00°
Last column: magnetic moment on the atom in μB.
Sites, in units of the cell vectors:
Sb1 0.000 0.000 0.500  0.64
Te1 0.000 0.500 0.000  0.06
Te2 0.500 0.000 0.000  0.06
Hg1 0.500 0.500 0.500  0.03
Ba1 0.000 0.000 0.000  0.02

Results
Total moment = 2.01 Bohr magnetons per cell
VASP energy = -2.13 eV/atom
Distance to the lowest polymorph of the same formula = 650.8 meV/atom
ΔE_f (raw) = 0.395 eV per atom



Compound: Mg2CuP
Source: Alexandria via LeMat-Bulk
Functional: PBE
Structure: optimized geometry

a = 4.587 Å, b = 4.587 Å, c = 4.587 Å
α = 60.00°, β = 60.00°, γ = 60.00°
Sites, in units of the cell vectors:
Cu1 0.500 0.500 0.500
Mg1 0.000 0.000 0.000
Mg2 0.250 0.250 0.250
P1 0.750 0.750 0.750

Results
Total moment = 0.00 Bohr magnetons per cell
VASP energy = -3.05 eV/atom
Formation enthalpy at 0 K = 0.48 eV/f.u.



Compound: Ce3PrPt4
Source: Alexandria via LeMat-Bulk
Functional: PBE
Structure: optimized geometry

a = 7.198 Å, b = 7.215 Å, c = 8.317 Å
α = 90.00°, β = 90.00°, γ = 109.48°
Last column: magnetic moment on the atom in μB.
Sites, in units of the cell vectors:
Pr1 0.750 0.000 0.875  0.00
Pr2 0.250 0.000 0.125  0.00
Pt1 0.005 0.254 0.620  -0.02
Pt2 0.499 0.260 0.870  -0.02
Pt3 0.505 0.254 0.380  -0.02
Pt4 0.999 0.260 0.130  -0.02
Pt5 0.001 0.740 0.870  -0.02
Pt6 0.495 0.746 0.620  -0.02
Pt7 0.501 0.740 0.130  -0.02
Pt8 0.995 0.746 0.380  -0.02
Ce1 0.750 0.000 0.375  0.53
Ce2 0.250 0.000 0.625  0.53
Ce3 0.750 0.500 0.625  0.40
Ce4 0.750 0.500 0.125  0.46
Ce5 0.250 0.500 0.375  0.40
Ce6 0.250 0.500 0.875  0.46

Results
Total moment = 2.87 Bohr magnetons per cell
VASP energy = -6.89 eV/atom
Formation enthalpy at 0 K = -8.39 eV/f.u.
Distance to the lowest polymorph of the same formula = 0.0 meV/atom



Compound: PrUAsN2
Source: Alexandria via LeMat-Bulk
Functional: PBE
Structure: optimized geometry

a = 3.857 Å, b = 3.857 Å, c = 6.730 Å
α = 106.65°, β = 106.65°, γ = 90.00°
Sites, in units of the cell vectors:
Pr1 0.854 0.854 0.708
U1 0.159 0.159 0.317
As1 0.515 0.515 0.031
N1 0.736 0.236 0.472
N2 0.236 0.736 0.472

Results
Total moment = 0.00 Bohr magnetons per cell
VASP energy = -8.74 eV/atom
ΔE_f (raw) = -1.271 eV per atom



Compound: CaGaNi2
Source: Alexandria via LeMat-Bulk
Functional: PBE
Structure: optimized geometry

a = 3.791 Å, b = 3.791 Å, c = 9.535 Å
α = 90.00°, β = 90.00°, γ = 90.00°
Sites, in units of the cell vectors:
Ca1 0.500 0.000 0.203
Ca2 0.000 0.500 0.797
Ga1 0.500 0.000 0.657
Ga2 0.000 0.500 0.343
Ni1 0.500 0.000 0.915
Ni2 0.000 0.500 0.085
Ni3 0.000 0.000 0.500
Ni4 0.500 0.500 0.500

Results
Total moment = 0.00 Bohr magnetons per cell
VASP energy = -4.30 eV/atom
Formation enthalpy at 0 K = -0.62 eV/f.u.



Compound: CdSiF2
Source: Alexandria via LeMat-Bulk
Functional: PBE
Structure: optimized geometry

a = 8.472 Å, b = 8.472 Å, c = 8.472 Å
α = 20.08°, β = 20.08°, γ = 20.08°
Sites, in units of the cell vectors:
Si1 0.500 0.500 0.500
F1 0.897 0.897 0.897
F2 0.103 0.103 0.103
Cd1 0.000 0.000 0.000

Results
Total moment = 0.00 Bohr magnetons per cell
VASP energy = -3.58 eV/atom
Distance to the lowest polymorph of the same formula = 449.3 meV/atom
ΔE_f (raw) = -1.057 eV per atom



Compound: NdDyZnIr
Source: Alexandria via LeMat-Bulk
Functional: PBE
Structure: optimized geometry

a = 3.990 Å, b = 4.349 Å, c = 5.775 Å
α = 90.00°, β = 110.21°, γ = 90.00°
Sites, in units of the cell vectors:
Nd1 0.143 0.000 0.285
Dy1 0.863 0.500 0.726
Zn1 0.568 0.500 0.136
Ir1 0.427 0.000 0.853

Results
Total moment = 0.00 Bohr magnetons per cell
VASP energy = -5.43 eV/atom
Formation enthalpy at 0 K = -2.22 eV/f.u.
Distance to the lowest polymorph of the same formula = 0.0 meV/atom



Compound: PrHIBr
Source: Alexandria via LeMat-Bulk
Functional: PBE
Structure: optimized geometry

a = 4.114 Å, b = 4.114 Å, c = 8.270 Å
α = 90.07°, β = 104.33°, γ = 120.00°
Sites, in units of the cell vectors:
Pr1 0.833 0.281 0.114
H1 0.503 0.616 0.119
I1 0.351 0.041 0.392
Br1 0.005 0.866 0.871

Results
Total moment = 0.00 Bohr magnetons per cell
VASP energy = -4.22 eV/atom



Compound: Mg2AgAs
Source: Alexandria via LeMat-Bulk
Functional: PBE
Structure: optimized geometry

a = 9.286 Å, b = 9.286 Å, c = 9.286 Å
α = 19.43°, β = 19.43°, γ = 19.43°
Sites, in units of the cell vectors:
Ag1 0.250 0.250 0.250
As1 0.750 0.750 0.750
Mg1 0.999 0.999 0.999
Mg2 0.501 0.501 0.501

Results
Total moment = 0.00 Bohr magnetons per cell
VASP energy = -2.80 eV/atom
Formation enthalpy at 0 K = -0.51 eV/f.u.



Compound: BaNi2Se
Source: Alexandria via LeMat-Bulk
Functional: PBE
Structure: optimized geometry

a = 4.113 Å, b = 4.467 Å, c = 4.467 Å
α = 90.00°, β = 90.00°, γ = 90.00°
Sites, in units of the cell vectors:
Ba1 0.500 0.000 0.500
Ni1 0.000 0.000 0.000
Ni2 0.000 0.500 0.500
Se1 0.500 0.500 0.000

Results
Total moment = 0.00 Bohr magnetons per cell
VASP energy = -4.01 eV/atom
ΔE_f (raw) = 0.235 eV per atom



What did the twelfth record say?
Compound: BaNi2Se
Source: Alexandria via LeMat-Bulk
Functional: PBE
Structure: optimized geometry

a = 4.113 Å, b = 4.467 Å, c = 4.467 Å
α = 90.00°, β = 90.00°, γ = 90.00°
Sites, in units of the cell vectors:
Ba1 0.500 0.000 0.500
Ni1 0.000 0.000 0.000
Ni2 0.000 0.500 0.500
Se1 0.500 0.500 0.000

Results
Total moment = 0.00 Bohr magnetons per cell
VASP energy = -4.01 eV/atom
ΔE_f (raw) = 0.235 eV per atom